No. 1
Here is an optimized crystal structure of KBeSe2 from Alexandria. Energies are from GGA-PBE.

Calculated values
As for the size of the total moment: 0.0 μB/cell. The value obtained for the energy relative to the elements, uncorrected is -0.454 eV/atom. The volume comes out at 86.9 Å³/cell. The raw total energy comes out at -13.61 eV/cell.

Cell lengths 3.525, 3.525, 8.097 Å; angles 76.86, 76.86, 63.68 degrees
Positions (direct):
Be 0.750 0.750 0.750
K 0.250 0.250 0.250
Se 0.017 0.017 0.925
Se 0.483 0.483 0.575

***

No. 2
Here is an optimized crystal structure of Re2WCl from Alexandria. Energies are from GGA-PBE.

Calculated values
As for the size of the total moment: 0.0 μB/cell. The value obtained for the energy relative to the elements, uncorrected is 1.172 eV/atom. The volume comes out at 63.1 Å³/cell. The excess energy over the best structure of this formula in the dataset is 719 meV per atom. The raw total energy comes out at -35.01 eV/cell.

Cell lengths 4.469, 4.469, 4.469 Å; angles 60.00, 60.00, 60.00 degrees
Positions (direct):
Re 0.250 0.250 0.250
Re 0.750 0.750 0.750
W 0.500 0.500 0.500
Cl 0.000 0.000 0.000

***

No. 3
Here is an optimized crystal structure of PmHo2AlAu4 from Alexandria. Energies are from GGA-PBE.

Calculated values
As for the formation energy from the elements: -0.75 eV per atom. As for the size of the total moment: 0.0 μB/cell. The volume comes out at 177.8 Å³/cell. The raw total energy comes out at -36.72 eV/cell.

Cell lengths 4.936, 4.936, 8.896 Å; angles 73.89, 73.89, 60.00 degrees
Positions (direct):
Pm 0.000 0.000 0.000
Ho 0.759 0.759 0.722
Ho 0.241 0.241 0.278
Al 0.500 0.500 0.500
Au 0.390 0.390 0.829
Au 0.877 0.877 0.368
Au 0.123 0.123 0.632
Au 0.610 0.610 0.171